1.
# PuCdBiN, optimized geometry, DFT PBE
# - VASP energy: -57.7 eV for the cell shown
# - D(E_F): 7.3 states/eV/f.u.
# - Crystal system: tetragonal
# - Formation energy without anion corrections: -33 kJ/mol of atoms
# - Theoretical density: 10761 kg/m3
data_PuCdBiN
_cell_length_a 3.328
_cell_length_b 3.328
_cell_length_c 16.148
_cell_angle_alpha 90.00
_cell_angle_beta 90.00
_cell_angle_gamma 90.00
_symmetry_space_group_name_H-M 'I 4 m m'
_symmetry_Int_Tables_number 107
_symmetry_space_group_name_Hall 'I 4 -2'
loop_
_atom_site_label
_atom_site_fract_x
_atom_site_fract_y
_atom_site_fract_z
Pu1 0.000 0.000 0.000
Cd1 0.000 0.000 0.670
Bi1 0.000 0.000 0.328
N1 0.000 0.000 0.519

2.
# PuCdBi2N, optimized geometry, DFT PBE
# - VASP energy: -67.2 eV for the cell shown
# - D(E_F): 6.9 states/eV/f.u.
# - Crystal system: tetragonal
# - Formation energy without anion corrections: -44 kJ/mol of atoms
# - Theoretical density: 9830 kg/m3
data_PuCdBi2N
_cell_length_a 3.784
_cell_length_b 3.784
_cell_length_c 18.600
_cell_angle_alpha 90.00
_cell_angle_beta 90.00
_cell_angle_gamma 90.00
_symmetry_space_group_name_H-M 'P 4/n m m'
_symmetry_Int_Tables_number 129
loop_
_symmetry_equiv_pos_as_xyz
'x,y,z'
'-x,-y,-z'
'-y+1/2,x,z'
'y+1/2,-x,-z'
'-x+1/2,-y+1/2,z'
'x+1/2,y+1/2,-z'
'y,-x+1/2,z'
'-y,x+1/2,-z'
'x+1/2,-y,-z'
'-x+1/2,y,z'
'-y,-x,-z'
'y,x,z'
'-x,y+1/2,-z'
'x,-y+1/2,z'
'y+1/2,x+1/2,-z'
'-y+1/2,-x+1/2,z'
loop_
_atom_site_label
_atom_site_fract_x
_atom_site_fract_y
_atom_site_fract_z
Pu1 0.250 0.250 0.061
Cd1 0.250 0.250 0.662
Bi1 0.250 0.250 0.434
Bi2 0.250 0.250 0.818
N1 0.250 0.750 0.000

3.
# CdBiSN2, optimized geometry, DFT PBE
# - VASP energy: -18.1 eV for the cell shown
# - D(E_F): 2.5 states/eV/f.u.
# - Crystal system: tetragonal
# - Offset from the most stable computed form: 0.1233 eV per atom
# - Formation energy without anion corrections: 144 kJ/mol of atoms
# - Theoretical density: 6484 kg/m3
data_CdBiSN2
_cell_length_a 4.288
_cell_length_b 4.288
_cell_length_c 5.314
_cell_angle_alpha 90.00
_cell_angle_beta 90.00
_cell_angle_gamma 90.00
_symmetry_space_group_name_H-M 'P 4/m m m'
_symmetry_Int_Tables_number 123
_symmetry_space_group_name_Hall '-P 4 2'
loop_
_atom_site_label
_atom_site_fract_x
_atom_site_fract_y
_atom_site_fract_z
Cd1 0.000 0.000 0.000
Bi1 0.500 0.500 0.500
S1 0.000 0.000 0.500
N1 0.000 0.500 0.000

4.
# CdBiSN2, optimized geometry, DFT PBE
# - VASP energy: -18.7 eV for the cell shown
# - D(E_F): 3.4 states/eV/f.u.
# - Crystal system: tetragonal
# - Offset from the most stable computed form: 0.0000 eV per atom
# - Formation energy without anion corrections: 132 kJ/mol of atoms
# - Theoretical density: 6133 kg/m3
data_CdBiSN2
_cell_length_a 4.272
_cell_length_b 4.272
_cell_length_c 5.658
_cell_angle_alpha 90.00
_cell_angle_beta 90.00
_cell_angle_gamma 90.00
_symmetry_space_group_name_H-M 'P 4/m m m'
_symmetry_Int_Tables_number 123
_symmetry_space_group_name_Hall '-P 4 2'
loop_
_atom_site_label
_atom_site_fract_x
_atom_site_fract_y
_atom_site_fract_z
Cd1 0.000 0.000 0.000
Bi1 0.500 0.500 0.500
S1 0.500 0.500 0.000
N1 0.000 0.500 0.500

5.
# CdBiSe2N, optimized geometry, DFT PBE
# - VASP energy: -16.1 eV for the cell shown
# - D(E_F): 2.6 states/eV/f.u.
# - Crystal system: tetragonal
# - Offset from the most stable computed form: 0.0000 eV per atom
# - Formation energy without anion corrections: 77 kJ/mol of atoms
# - Theoretical density: 6732 kg/m3
data_CdBiSe2N
_cell_length_a 5.413
_cell_length_b 5.413
_cell_length_c 4.153
_cell_angle_alpha 90.00
_cell_angle_beta 90.00
_cell_angle_gamma 90.00
_symmetry_space_group_name_H-M 'P 4/m m m'
_symmetry_Int_Tables_number 123
_symmetry_space_group_name_Hall '-P 4 2'
loop_
_atom_site_label
_atom_site_fract_x
_atom_site_fract_y
_atom_site_fract_z
Cd1 0.000 0.000 0.000
Bi1 0.500 0.500 0.500
Se1 0.000 0.500 0.000
N1 0.000 0.000 0.500

6.
# CdBiSeN2, optimized geometry, DFT PBE
# - VASP energy: -17.5 eV for the cell shown
# - D(E_F): 2.5 states/eV/f.u.
# - Crystal system: tetragonal
# - Offset from the most stable computed form: 0.1536 eV per atom
# - Formation energy without anion corrections: 143 kJ/mol of atoms
# - Theoretical density: 6695 kg/m3
data_CdBiSeN2
_cell_length_a 4.348
_cell_length_b 4.348
_cell_length_c 5.619
_cell_angle_alpha 90.00
_cell_angle_beta 90.00
_cell_angle_gamma 90.00
_symmetry_space_group_name_H-M 'P 4/m m m'
_symmetry_Int_Tables_number 123
_symmetry_space_group_name_Hall '-P 4 2'
loop_
_atom_site_label
_atom_site_fract_x
_atom_site_fract_y
_atom_site_fract_z
Cd1 0.000 0.000 0.000
Bi1 0.500 0.500 0.500
Se1 0.000 0.000 0.500
N1 0.000 0.500 0.000

7.
# CdBiSe2N, optimized geometry, DFT PBE
# - VASP energy: -15.9 eV for the cell shown
# - D(E_F): 3.5 states/eV/f.u.
# - Crystal system: tetragonal
# - Offset from the most stable computed form: 0.0487 eV per atom
# - Formation energy without anion corrections: 82 kJ/mol of atoms
# - Theoretical density: 6047 kg/m3
data_CdBiSe2N
_cell_length_a 5.574
_cell_length_b 5.574
_cell_length_c 4.361
_cell_angle_alpha 90.00
_cell_angle_beta 90.00
_cell_angle_gamma 90.00
_symmetry_space_group_name_H-M 'P 4/m m m'
_symmetry_Int_Tables_number 123
_symmetry_space_group_name_Hall '-P 4 2'
loop_
_atom_site_label
_atom_site_fract_x
_atom_site_fract_y
_atom_site_fract_z
Cd1 0.000 0.000 0.000
Bi1 0.500 0.500 0.500
Se1 0.000 0.500 0.500
N1 0.500 0.500 0.000

8.
# CdBiSeN2, optimized geometry, DFT PBE
# - VASP energy: -18.3 eV for the cell shown
# - D(E_F): 3.9 states/eV/f.u.
# - Crystal system: tetragonal
# - Offset from the most stable computed form: 0.0000 eV per atom
# - Formation energy without anion corrections: 128 kJ/mol of atoms
# - Theoretical density: 6350 kg/m3
data_CdBiSeN2
_cell_length_a 4.311
_cell_length_b 4.311
_cell_length_c 6.027
_cell_angle_alpha 90.00
_cell_angle_beta 90.00
_cell_angle_gamma 90.00
_symmetry_space_group_name_H-M 'P 4/m m m'
_symmetry_Int_Tables_number 123
_symmetry_space_group_name_Hall '-P 4 2'
loop_
_atom_site_label
_atom_site_fract_x
_atom_site_fract_y
_atom_site_fract_z
Cd1 0.000 0.000 0.000
Bi1 0.500 0.500 0.500
Se1 0.500 0.500 0.000
N1 0.000 0.500 0.500

9.
# SrCd2BiN, optimized geometry, DFT PBE
# - VASP energy: -10.8 eV for the cell shown
# - D(E_F): 4.3 states/eV/f.u.
# - Crystal system: tetragonal
# - Formation energy without anion corrections: 95 kJ/mol of atoms
# - Theoretical density: 3962 kg/m3
data_SrCd2BiN
_cell_length_a 5.859
_cell_length_b 5.859
_cell_length_c 6.536
_cell_angle_alpha 90.00
_cell_angle_beta 90.00
_cell_angle_gamma 90.00
_symmetry_space_group_name_H-M 'P 4/m m m'
_symmetry_Int_Tables_number 123
_symmetry_space_group_name_Hall '-P 4 2'
loop_
_atom_site_label
_atom_site_fract_x
_atom_site_fract_y
_atom_site_fract_z
Sr1 0.000 0.000 0.000
Cd1 0.000 0.500 0.500
Bi1 0.000 0.000 0.500
N1 0.500 0.500 0.000

10.
# CdBiTeN2, optimized geometry, DFT PBE
# - VASP energy: -17.8 eV for the cell shown
# - D(E_F): 3.9 states/eV/f.u.
# - Crystal system: tetragonal
# - Offset from the most stable computed form: 0.0000 eV per atom
# - Formation energy without anion corrections: 131 kJ/mol of atoms
# - Theoretical density: 6306 kg/m3
data_CdBiTeN2
_cell_length_a 4.384
_cell_length_b 4.384
_cell_length_c 6.536
_cell_angle_alpha 90.00
_cell_angle_beta 90.00
_cell_angle_gamma 90.00
_symmetry_space_group_name_H-M 'P 4/m m m'
_symmetry_Int_Tables_number 123
_symmetry_space_group_name_Hall '-P 4 2'
loop_
_atom_site_label
_atom_site_fract_x
_atom_site_fract_y
_atom_site_fract_z
Cd1 0.000 0.000 0.000
Bi1 0.500 0.500 0.500
Te1 0.500 0.500 0.000
N1 0.000 0.500 0.500

11.
# CdBiTeN2, optimized geometry, DFT PBE
# - VASP energy: -16.8 eV for the cell shown
# - D(E_F): 2.5 states/eV/f.u.
# - Crystal system: tetragonal
# - Offset from the most stable computed form: 0.2058 eV per atom
# - Formation energy without anion corrections: 150 kJ/mol of atoms
# - Theoretical density: 6516 kg/m3
data_CdBiTeN2
_cell_length_a 4.482
_cell_length_b 4.482
_cell_length_c 6.051
_cell_angle_alpha 90.00
_cell_angle_beta 90.00
_cell_angle_gamma 90.00
_symmetry_space_group_name_H-M 'P 4/m m m'
_symmetry_Int_Tables_number 123
_symmetry_space_group_name_Hall '-P 4 2'
loop_
_atom_site_label
_atom_site_fract_x
_atom_site_fract_y
_atom_site_fract_z
Cd1 0.000 0.000 0.000
Bi1 0.500 0.500 0.500
Te1 0.000 0.000 0.500
N1 0.000 0.500 0.000

12.
# ThCdBi2N, optimized geometry, DFT PBE
# - VASP energy: -54.9 eV for the cell shown
# - D(E_F): 3.2 states/eV/f.u.
# - Crystal system: tetragonal
# - Formation energy without anion corrections: -58 kJ/mol of atoms
# - Theoretical density: 9054 kg/m3
data_ThCdBi2N
_cell_length_a 4.168
_cell_length_b 4.168
_cell_length_c 16.394
_cell_angle_alpha 90.00
_cell_angle_beta 90.00
_cell_angle_gamma 90.00
_symmetry_space_group_name_H-M 'P 4/n m m'
_symmetry_Int_Tables_number 129
loop_
_symmetry_equiv_pos_as_xyz
'x,y,z'
'-x,-y,-z'
'-y+1/2,x,z'
'y+1/2,-x,-z'
'-x+1/2,-y+1/2,z'
'x+1/2,y+1/2,-z'
'y,-x+1/2,z'
'-y,x+1/2,-z'
'x+1/2,-y,-z'
'-x+1/2,y,z'
'-y,-x,-z'
'y,x,z'
'-x,y+1/2,-z'
'x,-y+1/2,z'
'y+1/2,x+1/2,-z'
'-y+1/2,-x+1/2,z'
loop_
_atom_site_label
_atom_site_fract_x
_atom_site_fract_y
_atom_site_fract_z
Th1 0.250 0.250 0.068
Cd1 0.250 0.250 0.626
Bi1 0.250 0.250 0.439
Bi2 0.250 0.250 0.799
N1 0.250 0.750 0.000